Entry 1:
A plane-wave DFT calculation with GGA-PBE was carried out for an optimized crystal structure of DyErGa2Cu2.

```
DyErGa2Cu2
1.0
4.3506 0.0000 0.0000
-2.1753 3.7677 0.0000
0.0000 0.0000 6.9645
Dy Er Ga Cu
1 1 2 2
Direct
0.0000 0.0000 0.0000
0.0000 0.0000 0.5000
0.3333 0.6667 0.2660
0.3333 0.6667 0.7340
0.6667 0.3333 0.2432
0.6667 0.3333 0.7568
```

Values from the calculation:
Crystal system   hexagonal
Space group   P-6m2, No. 187
Total magnetic moment   0.000 μB per formula unit
VASP energy   -4.290 eV/atom

***

Entry 2:
A plane-wave DFT calculation with GGA-PBE was carried out for an optimized crystal structure of DyEr2Ga3Cu2Ni.

```
DyEr2Ga3Cu2Ni
1.0
3.9808 0.0000 0.0000
0.0000 5.9847 3.4578
0.0000 -5.9847 3.4578
Dy Er Ga Cu Ni
1 2 3 2 1
Direct
0.0000 0.0000 0.0000
0.0000 0.1809 0.5902
0.0000 0.5902 0.1809
0.5000 0.3525 0.3525
0.5000 0.5894 0.8269
0.5000 0.8269 0.5894
0.5000 0.2584 0.9225
0.5000 0.9225 0.2584
0.0000 0.5880 0.5880
```

Values from the calculation:
Crystal system   orthorhombic
Space group   Amm2, No. 38
Total magnetic moment   0.002 μB per formula unit
VASP energy   -4.523 eV/atom

***

Entry 3:
A plane-wave DFT calculation with GGA-PBE was carried out for an optimized crystal structure of DyEr2Cu4Ge4.

```
DyEr2Cu4Ge4
1.0
-2.0868 3.3253 6.9349
2.0868 -3.3253 6.9349
2.0868 3.3253 -6.9349
Dy Er Cu Ge
1 2 4 4
Direct
0.0000 0.0000 0.0000
0.3702 0.8702 0.5000
0.6298 0.1298 0.5000
0.0210 0.3308 0.6902
0.3594 0.6692 0.6902
0.6406 0.3308 0.3098
0.9790 0.6692 0.3098
0.2171 0.2171 0.0000
0.3087 0.5000 0.8087
0.6913 0.5000 0.1913
0.7829 0.7829 0.0000
```

Values from the calculation:
Crystal system   orthorhombic
Space group   Immm, No. 71
Total magnetic moment   0.002 μB per formula unit
VASP energy   -4.912 eV/atom

***

Entry 4:
A plane-wave DFT calculation with GGA-PBE was carried out for an optimized crystal structure of Dy2ErCu4Ge4.

```
Dy2ErCu4Ge4
1.0
-2.0950 3.3207 6.9489
2.0950 -3.3207 6.9489
2.0950 3.3207 -6.9489
Dy Er Cu Ge
2 1 4 4
Direct
0.1300 0.1300 0.0000
0.8700 0.8700 0.0000
0.5000 0.0000 0.5000
0.1411 0.3308 0.8103
0.4795 0.6692 0.8103
0.5205 0.3308 0.1897
0.8589 0.6692 0.1897
0.1921 0.5000 0.6921
0.2833 0.7833 0.5000
0.7167 0.2167 0.5000
0.8079 0.5000 0.3079
```

Values from the calculation:
Crystal system   orthorhombic
Space group   Immm, No. 71
Total magnetic moment   0.003 μB per formula unit
VASP energy   -4.914 eV/atom

***

> Which value of VASP energy does entry 3 give?

-4.912 eV/atom